(1)
Material: ZrTcSe2N
Method: DFT, PBE
State: relaxed

Output
**Theoretical density**: 5.25 g/cm3
**Total energy**: -6.3612 eV per atom
**Energy above the most stable polymorph in this dataset**: 473 meV/atom
**Uncorrected formation energy**: 481 meV/atom

Unit cell a=5.326 b=5.326 c=4.027 alpha=90.00 beta=90.00 gamma=90.00
Fractional positions:
Zr 0.000 0.000 0.000
Tc 0.500 0.500 0.500
Se 0.000 0.500 0.000
Se 0.500 0.000 0.000
N 0.000 0.000 0.500


(2)
Material: Cd2AsW
Method: DFT, PBE
State: relaxed

Output
**Theoretical density**: 10.61 g/cm3
**Total energy**: -4.0637 eV per atom
**Formation energy**: 0.79 eV per atom

Unit cell a=4.748 b=4.748 c=4.748 alpha=60.00 beta=60.00 gamma=60.00
Fractional positions:
Cd 0.000 0.000 0.000
Cd 0.250 0.250 0.250
As 0.750 0.750 0.750
W 0.500 0.500 0.500


(3)
Material: TlSb2TeIr
Method: DFT, PBE
State: relaxed

Output
**Theoretical density**: 7.48 g/cm3
**Total energy**: -2.7468 eV per atom
**Energy above the most stable polymorph in this dataset**: 1470 meV/atom
**Uncorrected formation energy**: 1776 meV/atom

Unit cell a=5.520 b=5.520 c=5.590 alpha=90.00 beta=90.00 gamma=90.00
Fractional positions:
Tl 0.000 0.000 0.000
Sb 0.000 0.500 0.000
Sb 0.500 0.000 0.000
Te 0.000 0.000 0.500
Ir 0.500 0.500 0.500


(4)
Material: Zr2Be3Ni
Method: DFT, PBE
State: relaxed

Output
**Theoretical density**: 5.32 g/cm3
**Total energy**: -5.8922 eV per atom
**Formation energy**: -0.22 eV per atom

Unit cell a=7.779 b=7.462 c=5.031 alpha=74.17 beta=67.35 gamma=38.48
Fractional positions:
Zr 0.243 0.757 0.757
Zr 0.250 0.250 0.250
Zr 0.750 0.750 0.750
Zr 0.757 0.243 0.243
Be 0.174 0.663 0.337
Be 0.337 0.337 0.663
Be 0.337 0.826 0.174
Be 0.663 0.174 0.826
Be 0.663 0.663 0.337
Be 0.826 0.337 0.663
Ni 0.166 0.166 0.834
Ni 0.834 0.834 0.166


(5)
Material: LaTaCBr2
Method: DFT, PBE
State: relaxed

Output
**Theoretical density**: 7.39 g/cm3
**Total energy**: -5.3143 eV per atom
**Uncorrected formation energy**: 556 meV/atom

Unit cell a=5.097 b=5.097 c=4.251 alpha=90.00 beta=90.00 gamma=90.00
Fractional positions:
La 0.000 0.000 0.000
Ta 0.500 0.500 0.000
C 0.500 0.500 0.500
Br 0.000 0.500 0.500
Br 0.500 0.000 0.500


(6)
Material: Ti2CdCo
Method: DFT, PBE
State: relaxed

Output
**Theoretical density**: 6.60 g/cm3
**Total energy**: -5.9221 eV per atom
**Formation energy**: 0.03 eV per atom

Unit cell a=8.596 b=8.596 c=8.596 alpha=20.35 beta=20.35 gamma=20.35
Fractional positions:
Ti 0.000 0.000 0.000
Ti 0.201 0.201 0.201
Cd 0.433 0.433 0.433
Co 0.601 0.601 0.601


(7)
Material: AgMoPt
Method: DFT, PBE
State: relaxed

Output
**Theoretical density**: 13.77 g/cm3
**Total energy**: -6.4495 eV per atom
**Formation energy**: 0.12 eV per atom
**Energy above the most stable polymorph in this dataset**: 248 meV/atom

Unit cell a=4.913 b=4.913 c=4.913 alpha=147.10 beta=131.09 gamma=60.21
Fractional positions:
Ag 0.000 0.000 0.000
Mo 0.674 0.674 0.000
Pt 0.326 0.326 0.000


(8)
Material: Pm5Tl2Cd2
Method: DFT, PBE
State: relaxed

Output
**Theoretical density**: 8.09 g/cm3
**Total energy**: -3.6168 eV per atom
**Formation energy**: -0.25 eV per atom

Unit cell a=9.380 b=9.380 c=7.884 alpha=90.00 beta=90.00 gamma=53.56
Fractional positions:
Pm 0.000 0.000 0.000
Pm 0.048 0.671 0.671
Pm 0.171 0.548 0.171
Pm 0.329 0.952 0.671
Pm 0.452 0.829 0.171
Pm 0.500 0.500 0.500
Pm 0.548 0.171 0.829
Pm 0.671 0.048 0.329
Pm 0.829 0.452 0.829
Pm 0.952 0.329 0.329
Tl 0.133 0.867 0.378
Tl 0.367 0.633 0.878
Tl 0.633 0.367 0.122
Tl 0.867 0.133 0.622
Cd 0.212 0.212 0.000
Cd 0.288 0.288 0.500
Cd 0.712 0.712 0.500
Cd 0.788 0.788 0.000


(9)
Material: RbVSn2Cl8
Method: DFT, PBE
State: relaxed

Output
**Theoretical density**: 2.80 g/cm3
**Total energy**: -3.9740 eV per atom
**Uncorrected formation energy**: -1235 meV/atom

Unit cell a=6.602 b=7.600 c=8.536 alpha=65.55 beta=89.05 gamma=86.92
Fractional positions:
Rb 0.000 0.000 0.000
V 0.000 0.000 0.500
Sn 0.492 0.307 0.263
Sn 0.508 0.693 0.737
Cl 0.093 0.259 0.225
Cl 0.186 0.771 0.433
Cl 0.296 0.061 0.630
Cl 0.452 0.713 0.036
Cl 0.548 0.287 0.964
Cl 0.704 0.939 0.370
Cl 0.814 0.229 0.567
Cl 0.907 0.741 0.775


(10)
Material: PrNdEu2
Method: DFT, PBE
State: relaxed

Output
**Theoretical density**: 6.46 g/cm3
**Total energy**: -7.4578 eV per atom
**Formation energy**: 0.07 eV per atom
**Energy above the most stable polymorph in this dataset**: 0 meV/atom

Unit cell a=12.621 b=12.621 c=12.621 alpha=17.09 beta=17.09 gamma=17.09
Fractional positions:
Pr 0.000 0.000 0.000
Nd 0.500 0.500 0.500
Eu 0.250 0.250 0.250
Eu 0.750 0.750 0.750


(11)
Material: SrTlSi2
Method: DFT, PBE
State: relaxed

Output
**Theoretical density**: 5.74 g/cm3
**Total energy**: -3.4191 eV per atom
**Energy above the most stable polymorph in this dataset**: 419 meV/atom
**Uncorrected formation energy**: 304 meV/atom

Unit cell a=5.221 b=5.221 c=5.221 alpha=60.00 beta=60.00 gamma=60.00
Fractional positions:
Sr 0.000 0.000 0.000
Tl 0.500 0.500 0.500
Si 0.250 0.250 0.250
Si 0.750 0.750 0.750


(12)
Material: CrNiCl2
Method: DFT, PBE
State: relaxed

Output
**Theoretical density**: 3.88 g/cm3
**Total energy**: -4.7700 eV per atom
**Energy above the most stable polymorph in this dataset**: 294 meV/atom
**Uncorrected formation energy**: 4 meV/atom

Unit cell a=4.769 b=4.769 c=4.775 alpha=119.30 beta=119.30 gamma=90.99
Fractional positions:
Cr 0.000 0.000 0.000
Ni 0.500 0.500 0.000
Cl 0.000 0.500 0.500
Cl 0.500 0.000 0.500